# 1
A relaxed Na3Mn2CrTe6 crystal. Source: Alexandria via LeMat-Bulk, functional PBE.

Space group ... C2/m, No. 12
Energy ... -0.34521 Ry per atom
Energy relative to the elements, uncorrected ... -466 meV/atom

Geometry as POSCAR:
```
Na3Mn2CrTe6
1.0
-1.3354 4.4472 5.3134
3.8795 -5.7857 1.1264
5.3774 4.3032 -3.8192
Na Mn Cr Te
3 2 1 6
Cartesian
5.6884 -1.9076 -0.0768
2.2332 4.8723 2.6974
3.9608 1.4824 1.3103
2.1394 -2.3710 2.5235
0.4048 1.0326 3.9162
0.0000 0.0000 0.0000
5.3932 4.0854 2.5886
2.9640 -0.1236 3.9936
2.5283 -1.1206 0.0319
7.1045 0.7275 1.2147
4.9576 3.0884 -1.3731
0.8171 2.2372 1.4059
```



# 2
A relaxed Fe2PtSe crystal. Source: Alexandria via LeMat-Bulk, functional PBE.

Space group ... P2/m, No. 10
Energy ... -0.47680 Ry per atom
Energy relative to the elements, uncorrected ... 125 meV/atom

Geometry as POSCAR:
```
Fe2PtSe
1.0
-3.0439 2.3048 0.9673
-1.6775 -1.5384 -1.6133
-1.9253 -3.9694 3.3994
Fe Pt Se
2 1 1
Cartesian
-1.4682 -1.3802 -1.3316
-2.0107 -2.9121 0.6113
-2.4226 -0.2245 0.9301
-4.2241 -2.9784 1.8232
```